# 1
A plane-wave DFT calculation with GGA+U was carried out for NiAsO4 after structural relaxation.

## Properties
* crystal system: orthorhombic
* total DFT energy (no corrections): -5.399 eV/atom

Unit cell a=4.9335 b=5.7982 c=10.1967 alpha=90.00 beta=90.00 gamma=90.00
Last column: magnetic moment on the atom in μB.
Element x y z (fractional)
1 O 0.2605 0.4725 0.3277  -0.08
2 Ni 0.4521 0.7500 0.7688  1.51
3 O 0.6667 0.7500 0.9281  -0.17
4 Ni 0.0479 0.7500 0.2688  1.51
5 O 0.2605 0.0275 0.3277  -0.08
6 O 0.7427 0.2500 0.3947  -0.15
7 O 0.8333 0.7500 0.4281  -0.17
8 O 0.2573 0.7500 0.6053  -0.15
9 O 0.2395 0.0275 0.8277  -0.08
10 O 0.7573 0.2500 0.8947  -0.15
11 O 0.1667 0.2500 0.5719  -0.17
12 O 0.7605 0.9725 0.1723  -0.08
13 O 0.7395 0.9725 0.6723  -0.08
14 As 0.5883 0.7500 0.0919  0.03
15 Ni 0.9521 0.2500 0.7312  1.51
16 O 0.2427 0.7500 0.1053  -0.15
17 O 0.7605 0.5275 0.1723  -0.08
18 As 0.9117 0.7500 0.5919  0.03
19 O 0.3333 0.2500 0.0719  -0.17
20 As 0.4117 0.2500 0.9081  0.03
21 O 0.7395 0.5275 0.6723  -0.08
22 As 0.0883 0.2500 0.4081  0.03
23 Ni 0.5479 0.2500 0.2312  1.51
24 O 0.2395 0.4725 0.8277  -0.08

=====

# 2
A plane-wave DFT calculation with GGA+U was carried out for Ni2AsO2 after structural relaxation.

## Properties
* crystal system: tetragonal
* total DFT energy (no corrections): -4.000 eV/atom

Unit cell a=3.7516 b=3.7516 c=6.1083 alpha=72.12 beta=72.12 gamma=90.00
Last column: magnetic moment on the atom in μB.
Element x y z (fractional)
1 Ni 0.7888 0.7888 0.4224  0.75
2 Ni 0.2112 0.2112 0.5776  0.75
3 O 0.7500 0.2500 0.5000  -0.11
4 As 0.0000 0.0000 0.0000  -0.01
5 O 0.2500 0.7500 0.5000  -0.11

=====

# 3
A plane-wave DFT calculation with GGA+U was carried out for NiAs2O4 after structural relaxation.

## Properties
* crystal system: tetragonal
* total DFT energy (no corrections): -5.733 eV/atom

Unit cell a=8.3483 b=8.3483 c=5.7727 alpha=90.00 beta=90.00 gamma=90.00
Last column: magnetic moment on the atom in μB.
Element x y z (fractional)
1 As 0.6711 0.3144 0.0000  0.01
2 As 0.8289 0.8144 0.0000  0.01
3 Ni 0.0000 0.5000 0.7500  1.78
4 O 0.6063 0.1354 0.5000  0.06
5 As 0.6856 0.6711 0.5000  0.01
6 O 0.8174 0.3174 0.7500  0.03
7 O 0.1354 0.3937 0.0000  0.06
8 As 0.3144 0.3289 0.5000  0.01
9 O 0.3937 0.8646 0.5000  0.06
10 As 0.8144 0.1711 0.5000  0.01
11 O 0.1063 0.3646 0.5000  0.06
12 Ni 0.5000 0.0000 0.7500  1.78
13 As 0.1856 0.8289 0.5000  0.01
14 O 0.3646 0.8937 0.0000  0.06
15 O 0.1826 0.6826 0.2500  0.03
16 As 0.3289 0.6856 0.0000  0.01
17 Ni 0.5000 0.0000 0.2500  1.78
18 O 0.8937 0.6354 0.5000  0.06
19 O 0.1826 0.6826 0.7500  0.03
20 O 0.3174 0.1826 0.7500  0.03
21 O 0.6826 0.8174 0.2500  0.03
22 O 0.3174 0.1826 0.2500  0.03
23 O 0.6826 0.8174 0.7500  0.03
24 O 0.8174 0.3174 0.2500  0.03
25 Ni 0.0000 0.5000 0.2500  1.78
26 O 0.6354 0.1063 0.0000  0.06
27 As 0.1711 0.1856 0.0000  0.01
28 O 0.8646 0.6063 0.0000  0.06

=====

# 4
A plane-wave DFT calculation with GGA+U was carried out for NiAsO2 after structural relaxation.

## Properties
* crystal system: trigonal
* total DFT energy (no corrections): -4.685 eV/atom

Unit cell a=6.2789 b=6.2789 c=6.2789 alpha=29.87 beta=29.87 gamma=29.87
Last column: magnetic moment on the atom in μB.
Element x y z (fractional)
1 As 0.5000 0.5000 0.5000  0.00
2 O 0.1056 0.1056 0.1056  0.02
3 Ni 0.0000 0.0000 0.0000  0.91
4 O 0.8944 0.8944 0.8944  0.02

=====

# 5
A plane-wave DFT calculation with GGA+U was carried out for NiAsO3 after structural relaxation.

## Properties
* crystal system: cubic
* total DFT energy (no corrections): -4.620 eV/atom

Unit cell a=3.7035 b=3.7035 c=3.7035 alpha=90.00 beta=90.00 gamma=90.00
Last column: magnetic moment on the atom in μB.
Element x y z (fractional)
1 O 0.5000 0.0000 0.0000  0.04
2 Ni 0.5000 0.5000 0.5000  1.35
3 O 0.0000 0.0000 0.5000  0.03
4 O 0.0000 0.5000 0.0000  0.07
5 As 0.0000 0.0000 0.0000  0.00

=====

# 6
A plane-wave DFT calculation with GGA+U was carried out for Ni3AsO after structural relaxation.

## Properties
* crystal system: cubic
* total DFT energy (no corrections): -3.374 eV/atom

Unit cell a=3.9787 b=3.9787 c=3.9787 alpha=90.00 beta=90.00 gamma=90.00
Last column: magnetic moment on the atom in μB.
Element x y z (fractional)
1 Ni 0.5000 0.0000 0.0000  0.86
2 Ni 0.0000 0.0000 0.5000  0.99
3 As 0.5000 0.5000 0.5000  0.01
4 O 0.0000 0.0000 0.0000  -0.03
5 Ni 0.0000 0.5000 0.0000  1.00

=====

Please write out number 3 again, unchanged.
A plane-wave DFT calculation with GGA+U was carried out for NiAs2O4 after structural relaxation.

## Properties
* crystal system: tetragonal
* total DFT energy (no corrections): -5.733 eV/atom

Unit cell a=8.3483 b=8.3483 c=5.7727 alpha=90.00 beta=90.00 gamma=90.00
Last column: magnetic moment on the atom in μB.
Element x y z (fractional)
1 As 0.6711 0.3144 0.0000  0.01
2 As 0.8289 0.8144 0.0000  0.01
3 Ni 0.0000 0.5000 0.7500  1.78
4 O 0.6063 0.1354 0.5000  0.06
5 As 0.6856 0.6711 0.5000  0.01
6 O 0.8174 0.3174 0.7500  0.03
7 O 0.1354 0.3937 0.0000  0.06
8 As 0.3144 0.3289 0.5000  0.01
9 O 0.3937 0.8646 0.5000  0.06
10 As 0.8144 0.1711 0.5000  0.01
11 O 0.1063 0.3646 0.5000  0.06
12 Ni 0.5000 0.0000 0.7500  1.78
13 As 0.1856 0.8289 0.5000  0.01
14 O 0.3646 0.8937 0.0000  0.06
15 O 0.1826 0.6826 0.2500  0.03
16 As 0.3289 0.6856 0.0000  0.01
17 Ni 0.5000 0.0000 0.2500  1.78
18 O 0.8937 0.6354 0.5000  0.06
19 O 0.1826 0.6826 0.7500  0.03
20 O 0.3174 0.1826 0.7500  0.03
21 O 0.6826 0.8174 0.2500  0.03
22 O 0.3174 0.1826 0.2500  0.03
23 O 0.6826 0.8174 0.7500  0.03
24 O 0.8174 0.3174 0.2500  0.03
25 Ni 0.0000 0.5000 0.2500  1.78
26 O 0.6354 0.1063 0.0000  0.06
27 As 0.1711 0.1856 0.0000  0.01
28 O 0.8646 0.6063 0.0000  0.06

=====

Q: The lowest total DFT energy (no corrections) belongs to which entry?
A: NiAs2O4

=====

Q: What is the total DFT energy (no corrections) in the fifth record?
A: -4.620 eV/atom